Here is a geometry-optimized TiNiI2N structure from Alexandria via LeMat-Bulk. Energies are from GGA-PBE.

Results
DOS at the Fermi energy: 5.1 states/eV per cell
Final energy: -4.453 eV/atom
SG: P4/mmm (123)
M_tot: 0.59 μB/atom
Uncorrected formation energy: 0.567 eV/atom

```
TiNiI2N
1.0
5.513 0.000 0.000
0.000 5.513 0.000
0.000 0.000 3.508
Ti Ni I N
1 1 2 1
Direct
0.000 0.000 0.000
0.500 0.500 0.500
0.000 0.500 0.500
0.500 0.000 0.500
0.500 0.500 0.000
```